Run 1
The following is a DFT calculation (PBE) of crystalline Ac2VS5 at its relaxed geometry.

Cell: 11.702 9.021 8.848 Å, 90.00 109.44 90.00°
Space group P2_1/c (No. 14)
Unique sites:
Ac  0.036  0.119  0.240 [4 per cell]
Ac  0.402  0.169  0.101 [4 per cell]
V  0.295  0.588  0.046 [4 per cell]
S  0.099  0.636  0.989 [4 per cell]
S  0.126  0.119  0.957 [4 per cell]
S  0.308  0.073  0.363 [4 per cell]
S  0.366  0.038  0.768 [4 per cell]
S  0.404  0.713  0.574 [4 per cell]

Properties
Density of states at the Fermi level in states/eV/atom: 0.555
Crystal system: monoclinic

Run 2
The following is a DFT calculation (PBE) of crystalline Ac2VS5 at its relaxed geometry.

Cell: 6.924 6.924 8.117 Å, 90.00 90.00 90.00°
Space group I4mm (No. 107)
Unique sites:
Ac  0.000  0.500  0.000 [4 per cell]
V  0.000  0.000  0.314 [2 per cell]
S  0.000  0.000  0.567 [2 per cell]
S  0.234  0.234  0.250 [8 per cell]

Properties
Density of states at the Fermi level in states/eV/atom: 0.185
Crystal system: tetragonal

Which one sits at the top of the stability order? run 1 does.

Run 1
The following is a DFT calculation (PBE) of crystalline AcVS3 at its relaxed geometry.

Cell: 4.678 4.678 4.678 Å, 90.00 90.00 90.00°
Space group Pm-3m (No. 221)
Unique sites:
Ac  0.000  0.000  0.000 [1 per cell]
V  0.500  0.500  0.500 [1 per cell]
S  0.000  0.500  0.500 [3 per cell]

Properties
Density of states at the Fermi level in states/eV/atom: 0.791
Crystal system: cubic

Run 2
The following is a DFT calculation (PBE) of crystalline AcVS3 at its relaxed geometry.

Cell: 4.700 19.922 4.654 Å, 90.00 90.00 90.00°
Space group Cmcm (No. 63)
Unique sites:
Ac  0.000  0.161  0.250 [4 per cell]
V  0.000  0.446  0.250 [4 per cell]
S  0.000  0.066  0.750 [4 per cell]
S  0.000  0.310  0.250 [4 per cell]
S  0.000  0.435  0.750 [4 per cell]

Properties
Density of states at the Fermi level in states/eV/atom: 0.467
Crystal system: orthorhombic

Which one sits at the top of the stability order? run 2 does.

Run 1
The following is a DFT calculation (PBE) of crystalline Ac2ZrS5 at its relaxed geometry.

Cell: 11.771 8.482 7.590 Å, 90.00 90.00 90.00°
Space group Pnma (No. 62)
Unique sites:
Ac  0.170  0.003  0.066 [8 per cell]
Zr  0.010  0.250  0.572 [4 per cell]
S  0.006  0.250  0.935 [4 per cell]
S  0.068  0.532  0.677 [8 per cell]
S  0.192  0.250  0.369 [4 per cell]
S  0.205  0.750  0.349 [4 per cell]

Properties
Crystal system: orthorhombic

Run 2
The following is a DFT calculation (PBE) of crystalline Ac2ZrS5 at its relaxed geometry.

Cell: 5.401 14.507 13.399 Å, 90.00 90.00 90.00°
Space group Cmcm (No. 63)
Unique sites:
Ac  0.000  0.144  0.070 [8 per cell]
Zr  0.000  0.178  0.750 [4 per cell]
S  0.000  0.051  0.625 [8 per cell]
S  0.000  0.278  0.250 [4 per cell]
S  0.000  0.289  0.594 [8 per cell]

Properties
Density of states at the Fermi level in states/eV/atom: 0.000
Crystal system: orthorhombic

Which one sits at the top of the stability order? run 1 does.

Run 1
The following is a DFT calculation (PBE) of crystalline AcSb3 at its relaxed geometry.

Cell: 4.815 4.830 5.175 Å, 90.00 90.00 90.00°
Space group Pmmm (No. 47)
Unique sites:
Ac  0.000  0.000  0.000 [1 per cell]
Sb  0.000  0.500  0.500 [1 per cell]
Sb  0.500  0.000  0.500 [1 per cell]
Sb  0.500  0.500  0.000 [1 per cell]

Properties
Density of states at the Fermi level in states/eV/atom: 0.623
Crystal system: orthorhombic

Run 2
The following is a DFT calculation (PBE) of crystalline AcSb3 at its relaxed geometry.

Cell: 4.390 5.126 10.820 Å, 90.00 90.00 90.00°
Space group Immm (No. 71)
Unique sites:
Ac  0.000  0.000  0.000 [2 per cell]
Sb  0.000  0.000  0.500 [2 per cell]
Sb  0.000  0.500  0.234 [4 per cell]

Properties
Density of states at the Fermi level in states/eV/atom: 0.682
Crystal system: orthorhombic

Run 3
The following is a DFT calculation (PBE) of crystalline AcSb3 at its relaxed geometry.

Cell: 7.941 7.941 7.941 Å, 90.00 90.00 90.00°
Space group Fm-3m (No. 225)
Unique sites:
Ac  0.000  0.000  0.000 [4 per cell]
Sb  0.000  0.000  0.500 [4 per cell]
Sb  0.250  0.250  0.250 [8 per cell]

Properties
Density of states at the Fermi level in states/eV/atom: 0.548
Crystal system: cubic

Run 4
The following is a DFT calculation (PBE) of crystalline AcSb3 at its relaxed geometry.

Cell: 4.666 4.666 13.112 Å, 90.00 90.00 90.00°
Space group I4/mmm (No. 139)
Unique sites:
Ac  0.000  0.000  0.000 [2 per cell]
Sb  0.000  0.000  0.265 [4 per cell]
Sb  0.000  0.000  0.500 [2 per cell]

Properties
Density of states at the Fermi level in states/eV/atom: 0.588
Crystal system: tetragonal

Which one sits at the top of the stability order? run 1 does.

Run 1
The following is a DFT calculation (PBE) of crystalline AcSb5 at its relaxed geometry.

Cell: 5.387 11.717 6.696 Å, 90.00 110.36 90.00°
Space group P2_1/m (No. 11)
Unique sites:
Ac  0.170  0.250  0.433 [2 per cell]
Sb  0.225  0.250  0.943 [2 per cell]
Sb  0.255  0.563  0.393 [4 per cell]
Sb  0.331  0.598  0.987 [4 per cell]

Properties
Density of states at the Fermi level in states/eV/atom: 0.302
Crystal system: monoclinic

Run 2
The following is a DFT calculation (PBE) of crystalline AcSb5 at its relaxed geometry.

Cell: 5.356 14.934 4.482 Å, 90.00 90.00 90.00°
Space group Cmmm (No. 65)
Unique sites:
Ac  0.000  0.000  0.000 [2 per cell]
Sb  0.000  0.198  0.500 [4 per cell]
Sb  0.000  0.348  0.000 [4 per cell]
Sb  0.000  0.500  0.500 [2 per cell]

Properties
Density of states at the Fermi level in states/eV/atom: 0.569
Crystal system: orthorhombic

Which one sits at the top of the stability order? run 1 does.

Run 1
The following is a DFT calculation (PBE) of crystalline AcScSb2 at its relaxed geometry.

Cell: 4.4364 4.4364 22.6299 Å, 90.00 90.00 120.00°
Space group R3m (No. 160, hexagonal axes)
Unique sites:
Ac  0.0000  0.0000  0.0000 [3 per cell]
Sc  0.0000  0.0000  0.8289 [3 per cell]
Sb  0.0000  0.0000  0.2344 [3 per cell]
Sb  0.0000  0.0000  0.4277 [3 per cell]

Properties
Density of states at the Fermi level in states/eV/atom: 0.114
Crystal system: trigonal

Run 2
The following is a DFT calculation (PBE) of crystalline AcScSb2 at its relaxed geometry.

Cell: 4.530 4.530 11.878 Å, 90.00 90.00 90.00°
Space group P4/nmm (No. 129, origin choice 2)
Unique sites:
Ac  0.250  0.250  0.220 [2 per cell]
Sc  0.250  0.750  0.500 [2 per cell]
Sb  0.250  0.250  0.665 [2 per cell]
Sb  0.250  0.750  0.000 [2 per cell]

Properties
Density of states at the Fermi level in states/eV/atom: 0.650
Crystal system: tetragonal

Which one sits at the top of the stability order? run 1 does.

Run 1
The following is a DFT calculation (PBE) of crystalline AcScSb at its relaxed geometry.

Cell: 5.0055 5.0055 4.4284 Å, 90.00 90.00 120.00°
Space group P-6m2 (No. 187)
Unique sites:
Ac  0.0000  0.0000  0.0000 [1 per cell]
Sc  0.3333  0.6667  0.5000 [1 per cell]
Sb  0.6667  0.3333  0.5000 [1 per cell]

Properties
Density of states at the Fermi level in states/eV/atom: 1.452
Crystal system: hexagonal

Run 2
The following is a DFT calculation (PBE) of crystalline AcScSb at its relaxed geometry.

Cell: 4.653 4.653 17.150 Å, 90.00 90.00 90.00°
Space group I4/mmm (No. 139)
Unique sites:
Ac  0.000  0.000  0.173 [4 per cell]
Sc  0.000  0.500  0.000 [4 per cell]
Sb  0.000  0.000  0.382 [4 per cell]

Properties
Density of states at the Fermi level in states/eV/atom: 1.159
Crystal system: tetragonal

Which one sits at the top of the stability order? run 2 does.

Run 1
The following is a DFT calculation (PBE) of crystalline AcScSb at its relaxed geometry.

Cell: 3.963 3.963 11.823 Å, 90.00 90.00 90.00°
Space group I4mm (No. 107)
Unique sites:
Ac  0.000  0.000  0.000 [2 per cell]
Sc  0.000  0.000  0.707 [2 per cell]
Sb  0.000  0.000  0.302 [2 per cell]

Properties
Density of states at the Fermi level in states/eV/atom: 1.030
Crystal system: tetragonal

Run 2
The following is a DFT calculation (PBE) of crystalline AcScSb at its relaxed geometry.

Cell: 4.190 13.627 6.637 Å, 90.00 90.00 90.00°
Space group Cmcm (No. 63)
Unique sites:
Ac  0.000  0.000  0.000 [4 per cell]
Sc  0.000  0.303  0.250 [4 per cell]
Sb  0.000  0.341  0.750 [4 per cell]

Properties
Density of states at the Fermi level in states/eV/atom: 0.989
Crystal system: orthorhombic

Run 3
The following is a DFT calculation (PBE) of crystalline AcScSb at its relaxed geometry.

Cell: 4.577 4.577 8.847 Å, 90.00 90.00 90.00°
Space group P4/nmm (No. 129, origin choice 2)
Unique sites:
Ac  0.250  0.250  0.150 [2 per cell]
Sc  0.250  0.750  0.500 [2 per cell]
Sb  0.250  0.250  0.731 [2 per cell]

Properties
Density of states at the Fermi level in states/eV/atom: 1.072
Crystal system: tetragonal

Which one sits at the top of the stability order? run 3 does.

Run 1
The following is a DFT calculation (PBE) of crystalline AcSc2Sb at its relaxed geometry.

Cell: 7.453 7.453 7.453 Å, 90.00 90.00 90.00°
Space group Fm-3m (No. 225)
Unique sites:
Ac  0.000  0.000  0.000 [4 per cell]
Sc  0.250  0.250  0.250 [8 per cell]
Sb  0.000  0.000  0.500 [4 per cell]

Properties
Density of states at the Fermi level in states/eV/atom: 1.343
Crystal system: cubic

Run 2
The following is a DFT calculation (PBE) of crystalline AcSc2Sb at its relaxed geometry.

Cell: 4.864 4.864 4.610 Å, 90.00 90.00 90.00°
Space group P4/mmm (No. 123)
Unique sites:
Ac  0.000  0.000  0.000 [1 per cell]
Sc  0.000  0.500  0.500 [2 per cell]
Sb  0.500  0.500  0.000 [1 per cell]

Properties
Density of states at the Fermi level in states/eV/atom: 1.546
Crystal system: tetragonal

Which one sits at the top of the stability order? run 2 does.

Run 1
The following is a DFT calculation (PBE) of crystalline Ac2SbSe5 at its relaxed geometry.

Cell: 5.790 15.280 14.071 Å, 90.00 90.00 90.00°
Space group Cmcm (No. 63)
Unique sites:
Ac  0.000  0.154  0.073 [8 per cell]
Sb  0.000  0.161  0.750 [4 per cell]
Se  0.000  0.044  0.610 [8 per cell]
Se  0.000  0.287  0.250 [4 per cell]
Se  0.000  0.288  0.596 [8 per cell]

Properties
Density of states at the Fermi level in states/eV/atom: 0.347
Crystal system: orthorhombic

Run 2
The following is a DFT calculation (PBE) of crystalline Ac2SbSe5 at its relaxed geometry.

Cell: 8.295 12.246 4.419 Å, 90.00 90.00 90.00°
Space group Pbam (No. 55)
Unique sites:
Ac  0.079  0.171  0.000 [4 per cell]
Sb  0.000  0.500  0.500 [2 per cell]
Se  0.000  0.000  0.500 [2 per cell]
Se  0.143  0.709  0.500 [4 per cell]
Se  0.199  0.438  0.000 [4 per cell]

Properties
Density of states at the Fermi level in states/eV/atom: 0.394
Crystal system: orthorhombic

Which one sits at the top of the stability order? run 2 does.